(1)
HfAsBr2Cl: single point on PBEsol structure, SCAN.

Computed properties:
ΔE to the lowest computed polymorph ... 1466 meV/atom
Formation energy without anion corrections ... 950.6 meV/atom
Crystal system ... tetragonal

Unit cell a=4.913 b=4.913 c=5.087 alpha=90.00 beta=90.00 gamma=90.00
Space group P4/mmm (No. 123)
Asymmetric unit:
Hf 0.000 0.000 0.000 [1 per cell]
As 0.500 0.500 0.000 [1 per cell]
Br 0.000 0.500 0.500 [2 per cell]
Cl 0.500 0.500 0.500 [1 per cell]


(2)
Y2ScW: single point on PBEsol structure, SCAN.

Computed properties:
ΔE to the lowest computed polymorph ... 0 meV/atom
Formation energy ... 1.67 eV/f.u.
Crystal system ... orthorhombic

Unit cell a=4.895 b=3.129 c=12.101 alpha=90.00 beta=90.00 gamma=90.00
Space group Amm2 (No. 38)
Asymmetric unit:
Y 0.000 0.000 0.000 [2 per cell]
Y 0.500 0.000 0.343 [2 per cell]
Sc 0.500 0.000 0.620 [2 per cell]
W 0.000 0.000 0.731 [2 per cell]